# PBE MgTl2Ge2, optimized geometry
# DFT total energy = -0.221 Ry/atom
# energy above the most stable polymorph in this dataset = 0.000 eV per atom
data_MgTl2Ge2
_cell_length_a 7.1750
_cell_length_b 7.1750
_cell_length_c 4.9081
_cell_angle_alpha 90.00
_cell_angle_beta 90.00
_cell_angle_gamma 90.00
_symmetry_space_group_name_H-M 'P 4/m b m'
_symmetry_Int_Tables_number 127
_symmetry_space_group_name_Hall '-P 4 2ab'
loop_
_atom_site_label
_atom_site_type_symbol
_atom_site_fract_x
_atom_site_fract_y
_atom_site_fract_z
Mg1 Mg 0.0000 0.0000 0.0000
Tl1 Tl 0.1780 0.3220 0.5000
Ge1 Ge 0.1246 0.6246 0.0000